Computed, not measured: crystalline AlS2ICl at its relaxed geometry at the GGA-PBE level of DFT.

Output
* raw formation energy: -0.109 eV/atom
* symmetry: P4/mmm, No. 123
* ΔE to the lowest computed polymorph: 0 meV per atom
* DOS at the Fermi energy: 0.607 states/eV per atom

Cell lengths 4.833, 4.833, 4.565 Å; angles 90.00, 90.00, 90.00 degrees
Positions (direct):
1 Al 0.000 0.000 0.000
2 S 0.000 0.500 0.000
3 S 0.500 0.000 0.000
4 I 0.500 0.500 0.500
5 Cl 0.000 0.000 0.500